Computed, not measured: crystalline CrPd3O6 at its relaxed geometry at the PBE+U level of DFT.

a = 5.034 Å, b = 5.106 Å, c = 9.109 Å
α = 90.00°, β = 90.88°, γ = 90.00°
Fractional coordinates of all 20 atoms:
O 0.698 0.195 0.607
O 0.345 0.609 0.688
O 0.155 0.109 0.812
O 0.845 0.891 0.188
O 0.655 0.391 0.312
O 0.198 0.305 0.107
O 0.318 0.815 0.077
O 0.818 0.685 0.577
O 0.802 0.695 0.893
O 0.302 0.805 0.393
O 0.682 0.185 0.923
O 0.182 0.315 0.423
Cr 0.500 0.500 0.500
Cr 0.000 0.000 0.000
Pd 0.999 0.588 0.300
Pd 0.500 0.500 0.000
Pd 0.499 0.912 0.800
Pd 0.001 0.412 0.700
Pd 0.501 0.088 0.200
Pd 0.000 0.000 0.500

Computed properties:
E_tot ... -5.870 eV per atom
Energy above the lowest structure with this stoichiometry ... 114 kJ/mol of formula units